1.
Here is a relaxed structure of HfTiRu from Alexandria via LeMat-Bulk. Energies are from GGA-PBE.

abc: 5.4663 5.4663 5.4934
angles: 119.82 119.82 48.27
Fractional positions:
Hf: 0.1719 0.1719 0.2523
Hf: 0.8281 0.8281 0.7477
Ti: 0.4729 0.4729 0.2259
Ti: 0.5271 0.5271 0.7741
Ru: 0.1692 0.1692 0.7535
Ru: 0.8308 0.8308 0.2465

Output
- relative energy among the computed polymorphs (meV per atom) = 47
- ΔH_f (0 K) (eV per formula unit) = -1.37
- total magnetization (μB per cell) = 0.0
- E (eV/atom) = -9.498



2.
Here is a relaxed structure of Hf5TiRu4 from Alexandria via LeMat-Bulk. Energies are from GGA-PBE.

abc: 3.2375 3.2375 16.7671
angles: 90.00 90.00 90.00
Fractional positions:
Hf: 0.0000 0.0000 0.0000
Hf: 0.0000 0.0000 0.1943
Hf: 0.0000 0.0000 0.3874
Hf: 0.0000 0.0000 0.6126
Hf: 0.0000 0.0000 0.8057
Ti: 0.5000 0.5000 0.5000
Ru: 0.5000 0.5000 0.0969
Ru: 0.5000 0.5000 0.2903
Ru: 0.5000 0.5000 0.7097
Ru: 0.5000 0.5000 0.9031

Output
- ΔH_f (0 K) (eV per formula unit) = -6.35
- total magnetization (μB per cell) = 0.0
- E (eV/atom) = -10.111



3.
Here is a relaxed structure of HfTiRu from Alexandria via LeMat-Bulk. Energies are from GGA-PBE.

abc: 4.6168 7.0837 7.0837
angles: 26.09 90.00 90.00
Fractional positions:
Hf: 0.0000 0.0000 0.0000
Hf: 0.5000 0.1628 0.1628
Ti: 0.0000 0.3201 0.3201
Ti: 0.5000 0.4716 0.4716
Ru: 0.0000 0.6645 0.6645
Ru: 0.5000 0.8244 0.8244

Output
- relative energy among the computed polymorphs (meV per atom) = 0
- ΔH_f (0 K) (eV per formula unit) = -1.51
- total magnetization (μB per cell) = 0.0
- E (eV/atom) = -9.545



What did the second record say?
Here is a relaxed structure of Hf5TiRu4 from Alexandria via LeMat-Bulk. Energies are from GGA-PBE.

abc: 3.2375 3.2375 16.7671
angles: 90.00 90.00 90.00
Fractional positions:
Hf: 0.0000 0.0000 0.0000
Hf: 0.0000 0.0000 0.1943
Hf: 0.0000 0.0000 0.3874
Hf: 0.0000 0.0000 0.6126
Hf: 0.0000 0.0000 0.8057
Ti: 0.5000 0.5000 0.5000
Ru: 0.5000 0.5000 0.0969
Ru: 0.5000 0.5000 0.2903
Ru: 0.5000 0.5000 0.7097
Ru: 0.5000 0.5000 0.9031

Output
- ΔH_f (0 K) (eV per formula unit) = -6.35
- total magnetization (μB per cell) = 0.0
- E (eV/atom) = -10.111



> What is the formula in the first record?

HfTiRu



Copy entry 1 word for word.
Here is a relaxed structure of HfTiRu from Alexandria via LeMat-Bulk. Energies are from GGA-PBE.

abc: 5.4663 5.4663 5.4934
angles: 119.82 119.82 48.27
Fractional positions:
Hf: 0.1719 0.1719 0.2523
Hf: 0.8281 0.8281 0.7477
Ti: 0.4729 0.4729 0.2259
Ti: 0.5271 0.5271 0.7741
Ru: 0.1692 0.1692 0.7535
Ru: 0.8308 0.8308 0.2465

Output
- relative energy among the computed polymorphs (meV per atom) = 47
- ΔH_f (0 K) (eV per formula unit) = -1.37
- total magnetization (μB per cell) = 0.0
- E (eV/atom) = -9.498



> The highest ΔH_f (0 K) belongs to which entry?

number 1